[1]
! CaBiPdO4, optimized geometry, DFT GGA-PBE; values from VASP
! * DOS at the Fermi energy: 2.37 states/eV/f.u.
! * energy relative to the elements, uncorrected: -129.5 kJ/mol of atoms
! * spin magnetization: 0.00 μB/f.u.
! * SG: Imma
&SYSTEM
  ibrav = 0, nat = 14, ntyp = 4
/
ATOMIC_SPECIES
Ca 40.08 Ca.upf
Bi 208.98 Bi.upf
Pd 106.42 Pd.upf
O 16.00 O.upf
CELL_PARAMETERS angstrom
-3.1929 3.5053 5.0113
3.1929 -3.5053 5.0113
3.1929 3.5053 -5.0113
ATOMIC_POSITIONS crystal
Ca 0.4439 0.1939 0.2500
Ca 0.5561 0.8061 0.7500
Bi 0.0000 0.5000 0.5000
Bi 0.5000 0.5000 0.0000
Pd 0.0000 0.0000 0.5000
Pd 0.0000 0.5000 0.0000
O 0.1584 0.7258 0.4326
O 0.2067 0.2742 0.9326
O 0.3175 0.3570 0.5395
O 0.3175 0.7780 0.9605
O 0.6825 0.2220 0.0395
O 0.6825 0.6430 0.4605
O 0.7933 0.7258 0.0674
O 0.8416 0.2742 0.5674

---

[2]
! Ca4Pm2Bi3O2, optimized geometry, DFT GGA-PBE; values from VASP
! * DOS at the Fermi energy: 2.65 states/eV/f.u.
! * energy relative to the elements, uncorrected: -155.9 kJ/mol of atoms
! * spin magnetization: 0.00 μB/f.u.
! * SG: I4/mmm
&SYSTEM
  ibrav = 0, nat = 11, ntyp = 4
/
ATOMIC_SPECIES
Ca 40.08 Ca.upf
Pm 145.00 Pm.upf
Bi 208.98 Bi.upf
O 16.00 O.upf
CELL_PARAMETERS angstrom
-2.3713 2.3713 12.9902
2.3713 -2.3713 12.9902
2.3713 2.3713 -12.9902
ATOMIC_POSITIONS crystal
Ca 0.0838 0.5838 0.5000
Ca 0.4162 0.9162 0.5000
Ca 0.5838 0.0838 0.5000
Ca 0.9162 0.4162 0.5000
Pm 0.1924 0.1924 0.0000
Pm 0.8076 0.8076 0.0000
Bi 0.3207 0.3207 0.0000
Bi 0.5000 0.5000 0.0000
Bi 0.6793 0.6793 0.0000
O 0.1024 0.1024 0.0000
O 0.8976 0.8976 0.0000

---

[3]
! Ca2Pm4Bi3O2, optimized geometry, DFT GGA-PBE; values from VASP
! * DOS at the Fermi energy: 4.37 states/eV/f.u.
! * energy relative to the elements, uncorrected: -150.5 kJ/mol of atoms
! * spin magnetization: 0.00 μB/f.u.
! * SG: I4/mmm
&SYSTEM
  ibrav = 0, nat = 11, ntyp = 4
/
ATOMIC_SPECIES
Ca 40.08 Ca.upf
Pm 145.00 Pm.upf
Bi 208.98 Bi.upf
O 16.00 O.upf
CELL_PARAMETERS angstrom
-2.4170 2.4170 12.9296
2.4170 -2.4170 12.9296
2.4170 2.4170 -12.9296
ATOMIC_POSITIONS crystal
Ca 0.1937 0.1937 0.0000
Ca 0.8063 0.8063 0.0000
Pm 0.0845 0.5845 0.5000
Pm 0.4155 0.9155 0.5000
Pm 0.5845 0.0845 0.5000
Pm 0.9155 0.4155 0.5000
Bi 0.3212 0.3212 0.0000
Bi 0.5000 0.5000 0.0000
Bi 0.6788 0.6788 0.0000
O 0.1022 0.1022 0.0000
O 0.8978 0.8978 0.0000

---

[4]
! CaPr2BiO6, optimized geometry, DFT GGA-PBE; values from VASP
! * DOS at the Fermi energy: 2.59 states/eV/f.u.
! * energy relative to the elements, uncorrected: -244.7 kJ/mol of atoms
! * spin magnetization: 0.97 μB/f.u.
! * SG: R3
&SYSTEM
  ibrav = 0, nat = 10, ntyp = 4
/
ATOMIC_SPECIES
Ca 40.08 Ca.upf
Pr 140.91 Pr.upf
Bi 208.98 Bi.upf
O 16.00 O.upf
CELL_PARAMETERS angstrom
3.0259 1.7470 5.1640
-3.0259 1.7470 5.1640
0.0000 -3.4940 5.1640
ATOMIC_POSITIONS crystal
Ca 0.0000 0.0000 0.0000
Pr 0.2229 0.2229 0.2229
Pr 0.7232 0.7232 0.7232
Bi 0.5056 0.5056 0.5056
O 0.1287 0.3899 0.8054
O 0.3166 0.8799 0.6181
O 0.3899 0.8054 0.1287
O 0.6181 0.3166 0.8799
O 0.8054 0.1287 0.3899
O 0.8799 0.6181 0.3166